[1]
Material: BaAcNiPt
Method: DFT, PBE
State: optimized geometry

Summary:
ΔH_f (0 K) ... -0.387 eV per atom

abc: 5.337 5.337 5.337
angles: 60.00 60.00 60.00
Element x y z (fractional)
Ni (0.250, 0.250, 0.250)
Ac (0.500, 0.500, 0.500)
Ba (0.000, 0.000, 0.000)
Pt (0.750, 0.750, 0.750)

[2]
Material: BaAcNiS4
Method: DFT, PBE
State: optimized geometry

Summary:
Formation energy from raw total energies ... -1415 meV per atom

abc: 6.537 6.614 8.236
angles: 90.00 113.38 90.00
Element x y z (fractional)
Ba (0.607, 0.750, 0.213)
Ba (0.393, 0.250, 0.787)
Ac (0.119, 0.250, 0.238)
Ac (0.881, 0.750, 0.762)
Ni (0.249, 0.750, 0.499)
Ni (0.751, 0.250, 0.501)
S (0.920, 0.250, 0.839)
S (0.401, 0.750, 0.803)
S (0.080, 0.750, 0.161)
S (0.599, 0.250, 0.197)
S (0.500, 0.500, 0.500)
S (0.000, 0.000, 0.500)
S (0.500, 0.000, 0.500)
S (0.000, 0.500, 0.500)

[3]
Material: BaAcNpO6
Method: DFT, PBE
State: optimized geometry

Summary:
Formation energy from raw total energies ... -2936 meV per atom

abc: 6.281 6.281 10.235
angles: 90.00 90.00 120.00
Element x y z (fractional)
Ba (0.000, 0.000, 0.000)
Ba (0.000, 0.000, 0.500)
Ac (0.333, 0.667, 0.250)
Ac (0.667, 0.333, 0.750)
Np (0.667, 0.333, 0.250)
Np (0.333, 0.667, 0.750)
O (0.654, 0.601, 0.144)
O (0.947, 0.346, 0.144)
O (0.346, 0.947, 0.644)
O (0.053, 0.654, 0.856)
O (0.399, 0.346, 0.356)
O (0.947, 0.601, 0.356)
O (0.601, 0.947, 0.856)
O (0.654, 0.053, 0.356)
O (0.053, 0.399, 0.644)
O (0.399, 0.053, 0.144)
O (0.601, 0.654, 0.644)
O (0.346, 0.399, 0.856)

[4]
Material: BaAcNp2O8
Method: DFT, PBE
State: optimized geometry

Summary:
Formation energy from raw total energies ... -2881 meV per atom

abc: 5.769 5.769 6.918
angles: 114.64 114.64 90.00
Each line ends with the local moment (μB).
Element x y z (fractional)
Ba (0.750, 0.250, 0.500)  -0.01
Ac (0.000, 0.000, 0.000)  -0.01
Np (0.500, 0.500, 0.000)  1.94
Np (0.250, 0.750, 0.500)  1.77
O (0.822, 0.811, 0.201)  -0.09
O (0.378, 0.390, 0.201)  -0.09
O (0.573, 0.652, 0.711)  -0.09
O (0.137, 0.059, 0.711)  -0.09
O (0.941, 0.427, 0.289)  -0.09
O (0.348, 0.863, 0.289)  -0.09
O (0.189, 0.622, 0.799)  -0.09
O (0.610, 0.178, 0.799)  -0.09

[5]
Material: Ba2AcNpO8
Method: DFT, PBE
State: optimized geometry

Summary:
Formation energy from raw total energies ... -2578 meV per atom

abc: 4.434 6.086 7.811
angles: 91.24 90.00 90.00
Each line ends with the local moment (μB).
Element x y z (fractional)
Ba (0.500, 0.498, 0.750)  0.00
Ba (0.500, 0.502, 0.250)  0.00
Ac (0.000, 0.000, 0.500)  0.00
Np (0.000, 0.000, 0.000)  -0.24
O (0.000, 0.778, 0.189)  0.01
O (0.500, 0.904, 0.053)  0.02
O (0.000, 0.218, 0.186)  0.01
O (0.000, 0.222, 0.811)  0.01
O (0.500, 0.096, 0.947)  0.02
O (0.000, 0.782, 0.814)  0.01
O (0.500, 0.763, 0.505)  0.07
O (0.500, 0.237, 0.495)  0.07

[6]
Material: Ba3Ac2NpP6
Method: DFT, PBE
State: optimized geometry

Summary:
ΔH_f (0 K) ... -1.064 eV per atom

abc: 7.629 7.629 7.814
angles: 99.41 99.41 119.95
Each line ends with the local moment (μB).
Element x y z (fractional)
Ba (0.169, 0.831, 0.500)  -0.02
Ba (0.831, 0.169, 0.500)  -0.02
Ba (0.500, 0.500, 0.500)  -0.02
Ac (0.334, 0.666, 0.000)  -0.03
Ac (0.666, 0.334, 0.000)  -0.03
Np (0.000, 0.000, 0.000)  2.28
P (0.930, 0.632, 0.790)  -0.08
P (0.774, 0.774, 0.210)  -0.08
P (0.070, 0.368, 0.210)  -0.08
P (0.632, 0.930, 0.790)  -0.08
P (0.226, 0.226, 0.790)  -0.08
P (0.368, 0.070, 0.210)  -0.08

[7]
Material: Ba2AcNpSe6
Method: DFT, PBE
State: optimized geometry

Summary:
Formation energy from raw total energies ... -1636 meV per atom

abc: 7.607 8.111 11.060
angles: 90.00 90.63 90.00
Each line ends with the local moment (μB).
Element x y z (fractional)
Ba (0.026, 0.923, 0.249)  0.00
Ba (0.526, 0.577, 0.749)  0.00
Ba (0.974, 0.077, 0.751)  0.00
Ba (0.474, 0.423, 0.251)  0.00
Ac (0.500, 0.000, 0.000)  -0.03
Ac (0.000, 0.500, 0.500)  -0.03
Np (0.500, 0.000, 0.500)  2.77
Np (0.000, 0.500, 0.000)  2.77
Se (0.292, 0.684, 0.055)  -0.09
Se (0.792, 0.816, 0.555)  -0.09
Se (0.708, 0.316, 0.945)  -0.09
Se (0.208, 0.184, 0.445)  -0.09
Se (0.322, 0.711, 0.440)  -0.08
Se (0.822, 0.789, 0.940)  -0.08
Se (0.678, 0.289, 0.560)  -0.08
Se (0.178, 0.211, 0.060)  -0.08
Se (0.891, 0.533, 0.235)  -0.08
Se (0.391, 0.967, 0.735)  -0.08
Se (0.109, 0.467, 0.765)  -0.08
Se (0.609, 0.033, 0.265)  -0.08

[8]
Material: Ba2AcO3
Method: DFT, PBE
State: optimized geometry

Summary:
Energy above the most stable polymorph in this dataset ... 17 meV per atom
Formation energy from raw total energies ... -2557 meV per atom

abc: 5.489 7.785 6.793
angles: 106.60 113.83 90.00
Element x y z (fractional)
Ba (0.668, 0.584, 0.337)
Ba (0.668, 0.084, 0.337)
Ba (0.332, 0.916, 0.663)
Ba (0.332, 0.416, 0.663)
Ac (0.000, 0.750, 0.000)
Ac (0.000, 0.250, 0.000)
O (0.500, 0.250, 0.000)
O (0.500, 0.750, 0.000)
O (0.143, 0.071, 0.286)
O (0.857, 0.429, 0.714)
O (0.143, 0.571, 0.286)
O (0.857, 0.929, 0.714)